BaCaLa: optimized geometry, GGA-PBEsol.

a = 8.922 Å, b = 8.922 Å, c = 8.922 Å
α = 154.96°, β = 154.96°, γ = 35.71°
Atoms (fractional coordinates):
1 Ba 0.000 0.000 0.000
2 Ca 0.682 0.682 0.000
3 La 0.334 0.334 0.000

Energy above the most stable polymorph in this dataset in eV per formula unit: 0.02
Calculated volume in Å³/cell: 127
Uncorrected energy in eV per atom: -3.09
Symmetry: No. 107
Total magnetic moment in μB/f.u.: 0.0
ΔE_f in eV/atom: 0.12



RbTb3F10: optimized geometry, GGA-PBEsol.

a = 8.187 Å, b = 8.187 Å, c = 8.187 Å
α = 60.00°, β = 60.00°, γ = 60.00°
Atoms (fractional coordinates):
1 Rb 0.250 0.250 0.250
2 Rb 0.750 0.750 0.750
3 Tb 0.240 0.240 0.760
4 Tb 0.240 0.760 0.240
5 Tb 0.240 0.760 0.760
6 Tb 0.760 0.240 0.240
7 Tb 0.760 0.240 0.760
8 Tb 0.760 0.760 0.240
9 F 0.111 0.111 0.111
10 F 0.111 0.111 0.668
11 F 0.111 0.668 0.111
12 F 0.170 0.500 0.500
13 F 0.170 0.500 0.830
14 F 0.170 0.830 0.500
15 F 0.332 0.889 0.889
16 F 0.500 0.170 0.500
17 F 0.500 0.170 0.830
18 F 0.500 0.500 0.170
19 F 0.500 0.500 0.830
20 F 0.500 0.830 0.170
21 F 0.500 0.830 0.500
22 F 0.668 0.111 0.111
23 F 0.830 0.170 0.500
24 F 0.830 0.500 0.170
25 F 0.830 0.500 0.500
26 F 0.889 0.332 0.889
27 F 0.889 0.889 0.332
28 F 0.889 0.889 0.889

ΔE_f (raw) in eV per atom: -4.03
Calculated volume in Å³/cell: 388
Uncorrected energy in eV per atom: -6.55
Symmetry: No. 225
Total magnetic moment in μB/f.u.: 0.1



NiIr2Rh: optimized geometry, GGA-PBEsol.

a = 2.669 Å, b = 3.700 Å, c = 5.300 Å
α = 90.00°, β = 90.00°, γ = 90.00°
Atoms (fractional coordinates):
1 Ni 0.000 0.000 0.000
2 Ir 0.500 0.500 0.243
3 Ir 0.500 0.500 0.757
4 Rh 0.000 0.000 0.500

Calculated volume in Å³/cell: 52
Uncorrected energy in eV per atom: -8.46
Symmetry: No. 47
Total magnetic moment in μB/f.u.: 0.0
ΔE_f in eV/atom: 0.02



Tm2GeO5: optimized geometry, GGA-PBEsol.

a = 10.074 Å, b = 3.622 Å, c = 10.897 Å
α = 90.00°, β = 90.00°, γ = 90.00°
Atoms (fractional coordinates):
1 Tm 0.112 0.250 0.221
2 Tm 0.135 0.250 0.555
3 Tm 0.365 0.750 0.055
4 Tm 0.388 0.750 0.721
5 Tm 0.612 0.250 0.279
6 Tm 0.635 0.250 0.945
7 Tm 0.865 0.750 0.445
8 Tm 0.888 0.750 0.779
9 Ge 0.174 0.250 0.879
10 Ge 0.326 0.750 0.379
11 Ge 0.674 0.250 0.621
12 Ge 0.826 0.750 0.121
13 O 0.005 0.250 0.845
14 O 0.008 0.750 0.605
15 O 0.224 0.250 0.039
16 O 0.234 0.750 0.882
17 O 0.244 0.750 0.229
18 O 0.256 0.250 0.729
19 O 0.266 0.250 0.382
20 O 0.276 0.750 0.539
21 O 0.492 0.250 0.105
22 O 0.495 0.750 0.345
23 O 0.505 0.250 0.655
24 O 0.508 0.750 0.895
25 O 0.724 0.250 0.461
26 O 0.734 0.750 0.618
27 O 0.744 0.750 0.271
28 O 0.756 0.250 0.771
29 O 0.766 0.250 0.118
30 O 0.776 0.750 0.961
31 O 0.992 0.250 0.395
32 O 0.995 0.750 0.155

Energy above the most stable polymorph in this dataset in eV per formula unit: 0.00
ΔE_f (raw) in eV per atom: -3.02
Calculated volume in Å³/cell: 398
Uncorrected energy in eV per atom: -8.15
Symmetry: No. 62
Total magnetic moment in μB/f.u.: 0.0



CaMnCo2: optimized geometry, GGA-PBEsol.

a = 8.315 Å, b = 8.315 Å, c = 8.315 Å
α = 19.44°, β = 19.44°, γ = 19.44°
Atoms (fractional coordinates):
1 Ca 0.000 0.000 0.000
2 Mn 0.500 0.500 0.500
3 Co 0.238 0.238 0.238
4 Co 0.762 0.762 0.762

Energy above the most stable polymorph in this dataset in eV per formula unit: 1.45
Calculated volume in Å³/cell: 56
Uncorrected energy in eV per atom: -6.15
Symmetry: No. 166
Total magnetic moment in μB/f.u.: 4.3
ΔE_f in eV/atom: 0.70



MgPtW2: optimized geometry, GGA-PBEsol.

a = 5.196 Å, b = 5.196 Å, c = 5.196 Å
α = 142.02°, β = 133.62°, γ = 61.43°
Atoms (fractional coordinates):
1 Mg 0.000 0.000 0.000
2 Pt 0.500 0.500 0.000
3 W 0.251 0.751 0.500
4 W 0.749 0.249 0.500

Calculated volume in Å³/cell: 62
Uncorrected energy in eV per atom: -9.06
Symmetry: No. 71
Total magnetic moment in μB/f.u.: 0.0
ΔE_f in eV/atom: 0.01



CaCl2: optimized geometry, GGA-PBEsol.

a = 6.121 Å, b = 6.121 Å, c = 6.455 Å
α = 90.00°, β = 90.00°, γ = 144.14°
Atoms (fractional coordinates):
1 Ca 0.118 0.882 0.500
2 Ca 0.882 0.118 0.000
3 Cl 0.223 0.777 0.084
4 Cl 0.493 0.507 0.275
5 Cl 0.507 0.493 0.775
6 Cl 0.777 0.223 0.584

ΔE_f (raw) in eV per atom: -2.33
Calculated volume in Å³/cell: 142
Uncorrected energy in eV per atom: -4.37
Symmetry: No. 36
Total magnetic moment in μB/f.u.: 0.0



BaCuRu2: optimized geometry, GGA-PBEsol.

a = 4.620 Å, b = 4.620 Å, c = 4.620 Å
α = 60.00°, β = 60.00°, γ = 60.00°
Atoms (fractional coordinates):
1 Ba 0.000 0.000 0.000
2 Cu 0.500 0.500 0.500
3 Ru 0.250 0.250 0.250
4 Ru 0.750 0.750 0.750

Energy above the most stable polymorph in this dataset in eV per formula unit: 2.24
Calculated volume in Å³/cell: 70
Uncorrected energy in eV per atom: -5.53
Symmetry: No. 225
Total magnetic moment in μB/f.u.: 2.3
ΔE_f in eV/atom: 1.18



KLi2ReAg: optimized geometry, GGA-PBEsol.

a = 4.993 Å, b = 4.993 Å, c = 5.097 Å
α = 90.00°, β = 90.00°, γ = 90.00°
Atoms (fractional coordinates):
1 K 0.000 0.000 0.000
2 Li 0.000 0.500 0.500
3 Li 0.500 0.000 0.500
4 Re 0.500 0.500 0.000
5 Ag 0.500 0.500 0.500

Calculated volume in Å³/cell: 127
Uncorrected energy in eV per atom: -3.26
Symmetry: No. 123
Total magnetic moment in μB/f.u.: 2.9
ΔE_f in eV/atom: 1.08



Sb2Te3: optimized geometry, GGA-PBEsol.

a = 7.715 Å, b = 7.472 Å, c = 9.510 Å
α = 52.38°, β = 50.10°, γ = 77.53°
Atoms (fractional coordinates):
1 Sb 0.068 0.432 0.177
2 Sb 0.073 0.927 0.182
3 Sb 0.432 0.068 0.323
4 Sb 0.927 0.073 0.818
5 Te 0.301 0.494 0.299
6 Te 0.344 0.951 0.756
7 Te 0.494 0.301 0.906
8 Te 0.649 0.649 0.351
9 Te 0.899 0.899 0.601
10 Te 0.951 0.344 0.949

ΔE_f (raw) in eV per atom: -0.04
Calculated volume in Å³/cell: 319
Uncorrected energy in eV per atom: -3.98
Symmetry: No. 43
Total magnetic moment in μB/f.u.: 0.0



La2Ni2Pb: optimized geometry, GGA-PBEsol.

a = 9.345 Å, b = 9.345 Å, c = 9.345 Å
α = 157.91°, β = 157.91°, γ = 31.45°
Atoms (fractional coordinates):
1 La 0.132 0.132 0.000
2 La 0.868 0.868 0.000
3 Ni 0.250 0.750 0.500
4 Ni 0.750 0.250 0.500
5 Pb 0.500 0.500 0.000

Calculated volume in Å³/cell: 115
Uncorrected energy in eV per atom: -5.67
Symmetry: No. 139
Total magnetic moment in μB/f.u.: 0.0
ΔE_f in eV/atom: -0.27



Ca4ZrIr: optimized geometry, GGA-PBEsol.

a = 6.025 Å, b = 6.025 Å, c = 6.025 Å
α = 60.00°, β = 60.00°, γ = 60.00°
Atoms (fractional coordinates):
1 Ca 0.376 0.376 0.376
2 Ca 0.376 0.376 0.873
3 Ca 0.376 0.873 0.376
4 Ca 0.873 0.376 0.376
5 Zr 0.000 0.000 0.000
6 Ir 0.750 0.750 0.750

Calculated volume in Å³/cell: 155
Uncorrected energy in eV per atom: -3.62
Symmetry: No. 216
Total magnetic moment in μB/f.u.: 2.8
ΔE_f in eV/atom: 0.95



Repeat the second record exactly.
RbTb3F10: optimized geometry, GGA-PBEsol.

a = 8.187 Å, b = 8.187 Å, c = 8.187 Å
α = 60.00°, β = 60.00°, γ = 60.00°
Atoms (fractional coordinates):
1 Rb 0.250 0.250 0.250
2 Rb 0.750 0.750 0.750
3 Tb 0.240 0.240 0.760
4 Tb 0.240 0.760 0.240
5 Tb 0.240 0.760 0.760
6 Tb 0.760 0.240 0.240
7 Tb 0.760 0.240 0.760
8 Tb 0.760 0.760 0.240
9 F 0.111 0.111 0.111
10 F 0.111 0.111 0.668
11 F 0.111 0.668 0.111
12 F 0.170 0.500 0.500
13 F 0.170 0.500 0.830
14 F 0.170 0.830 0.500
15 F 0.332 0.889 0.889
16 F 0.500 0.170 0.500
17 F 0.500 0.170 0.830
18 F 0.500 0.500 0.170
19 F 0.500 0.500 0.830
20 F 0.500 0.830 0.170
21 F 0.500 0.830 0.500
22 F 0.668 0.111 0.111
23 F 0.830 0.170 0.500
24 F 0.830 0.500 0.170
25 F 0.830 0.500 0.500
26 F 0.889 0.332 0.889
27 F 0.889 0.889 0.332
28 F 0.889 0.889 0.889

ΔE_f (raw) in eV per atom: -4.03
Calculated volume in Å³/cell: 388
Uncorrected energy in eV per atom: -6.55
Symmetry: No. 225
Total magnetic moment in μB/f.u.: 0.1



Please write out number 6 again, unchanged.
MgPtW2: optimized geometry, GGA-PBEsol.

a = 5.196 Å, b = 5.196 Å, c = 5.196 Å
α = 142.02°, β = 133.62°, γ = 61.43°
Atoms (fractional coordinates):
1 Mg 0.000 0.000 0.000
2 Pt 0.500 0.500 0.000
3 W 0.251 0.751 0.500
4 W 0.749 0.249 0.500

Calculated volume in Å³/cell: 62
Uncorrected energy in eV per atom: -9.06
Symmetry: No. 71
Total magnetic moment in μB/f.u.: 0.0
ΔE_f in eV/atom: 0.01



Copy entry 11 word for word.
La2Ni2Pb: optimized geometry, GGA-PBEsol.

a = 9.345 Å, b = 9.345 Å, c = 9.345 Å
α = 157.91°, β = 157.91°, γ = 31.45°
Atoms (fractional coordinates):
1 La 0.132 0.132 0.000
2 La 0.868 0.868 0.000
3 Ni 0.250 0.750 0.500
4 Ni 0.750 0.250 0.500
5 Pb 0.500 0.500 0.000

Calculated volume in Å³/cell: 115
Uncorrected energy in eV per atom: -5.67
Symmetry: No. 139
Total magnetic moment in μB/f.u.: 0.0
ΔE_f in eV/atom: -0.27